Record 1
A relaxed NbGaGe crystal, computed with PBE.

a = 3.6714 Å, b = 3.6714 Å, c = 7.8129 Å
α = 90.00°, β = 90.00°, γ = 90.00°
Last column: nearest neighbours and their distance in Å.
Atoms (fractional coordinates):
1 Nb 0.2500 0.2500 0.2214  5 Ge 2.66-2.88, 4 Ga 2.85
2 Nb 0.7500 0.7500 0.7786  5 Ge 2.66-2.88, 4 Ga 2.85
3 Ga 0.2500 0.7500 0.5000  4 Ga 2.60, 4 Nb 2.85
4 Ga 0.7500 0.2500 0.5000  4 Ga 2.60, 4 Nb 2.85
5 Ge 0.2500 0.2500 0.8531  5 Nb 2.66-2.88
6 Ge 0.7500 0.7500 0.1469  5 Nb 2.66-2.88

Summary:
SG	P4/nmm, No. 129
energy above the most stable polymorph in this dataset	169.5	meV/atom
ΔH_f (0 K)	-0.51	eV/f.u.

***

Record 2
A relaxed La2Nd2Sc crystal, computed with PBE.

a = 16.8802 Å, b = 16.8802 Å, c = 16.8802 Å
α = 167.94°, β = 160.52°, γ = 22.97°
Last column: nearest neighbours and their distance in Å.
Atoms (fractional coordinates):
1 La 0.0407 0.2907 0.7500  8 La 3.22-3.55, 2 Nd 3.56
2 La 0.4349 0.1849 0.2500  6 La 3.46-3.55, 2 Nd 3.66
3 La 0.5651 0.8151 0.7500  6 La 3.46-3.55, 2 Nd 3.66
4 La 0.9593 0.7093 0.2500  8 La 3.22-3.55, 2 Nd 3.56
5 Nd 0.1342 0.8842 0.2500  1 Nd 3.14
6 Nd 0.2290 0.9790 0.2500  3 Nd 3.14-3.18
7 Nd 0.7710 0.0210 0.7500  3 Nd 3.14-3.18
8 Nd 0.8658 0.1158 0.7500  1 Nd 3.14
9 Sc 0.3229 0.5729 0.7500  2 Sc 3.55, 10 Nd 3.58-3.77
10 Sc 0.6771 0.4271 0.2500  2 Sc 3.55, 10 Nd 3.58-3.77

Summary:
SG	Imma, No. 74
energy above the most stable polymorph in this dataset	47.1	meV/atom
ΔH_f (0 K)	0.86	eV/f.u.

***

Record 3
A relaxed BC2 crystal, computed with PBE.

a = 2.5526 Å, b = 2.5526 Å, c = 13.5126 Å
α = 90.00°, β = 90.00°, γ = 120.00°
Last column: nearest neighbours and their distance in Å.
Atoms (fractional coordinates):
1 B 0.0000 0.0000 0.0000  3 C 1.64, 1 B 1.69
2 B 0.0000 0.0000 0.1254  4 B 1.69-1.84
3 B 0.0000 0.0000 0.6342  4 C 1.62-1.63
4 B 0.3333 0.6667 0.2073  1 C 1.58
5 C 0.0000 0.0000 0.5145  3 C 1.56, 1 B 1.62
6 C 0.3333 0.6667 0.3240  3 C 1.56, 1 B 1.58
7 C 0.3333 0.6667 0.6852  1 C 1.50, 3 B 1.63
8 C 0.3333 0.6667 0.7959  4 C 1.50-1.57
9 C 0.6667 0.3333 0.3618  4 C 1.56
10 C 0.6667 0.3333 0.4776  4 C 1.56
11 C 0.6667 0.3333 0.8369  4 C 1.49-1.57
12 C 0.6667 0.3333 0.9473  1 C 1.49, 3 B 1.64

Summary:
SG	P3m1, No. 156
energy above the most stable polymorph in this dataset	113.6	meV/atom
ΔH_f (0 K)	1.06	eV/f.u.

***

Record 4
A relaxed ScTl2Pt crystal, computed with PBE.

a = 8.0406 Å, b = 8.0406 Å, c = 5.8769 Å
α = 90.00°, β = 90.00°, γ = 90.00°
Last column: nearest neighbours and their distance in Å.
Atoms (fractional coordinates):
1 Sc 0.0000 0.0000 0.0000  2 Pt 2.94, 4 Tl 3.11
2 Sc 0.0000 0.5000 0.2500  2 Pt 2.94, 4 Tl 3.11
3 Sc 0.5000 0.0000 0.7500  2 Pt 2.94, 4 Tl 3.11
4 Sc 0.5000 0.5000 0.5000  2 Pt 2.94, 4 Tl 3.11
5 Tl 0.2193 0.7500 0.6250  2 Pt 2.77, 2 Tl 2.98
6 Tl 0.2500 0.2193 0.3750  2 Pt 2.77, 2 Tl 2.98
7 Tl 0.2500 0.2807 0.8750  2 Pt 2.77, 2 Tl 2.98
8 Tl 0.2807 0.7500 0.1250  2 Pt 2.77, 2 Tl 2.98
9 Tl 0.7193 0.2500 0.1250  2 Pt 2.77, 2 Tl 2.98
10 Tl 0.7500 0.7193 0.8750  2 Pt 2.77, 2 Tl 2.98
11 Tl 0.7500 0.7807 0.3750  2 Pt 2.77, 2 Tl 2.98
12 Tl 0.7807 0.2500 0.6250  2 Pt 2.77, 2 Tl 2.98
13 Pt 0.0000 0.0000 0.5000  4 Tl 2.77, 2 Sc 2.94
14 Pt 0.0000 0.5000 0.7500  4 Tl 2.77, 2 Sc 2.94
15 Pt 0.5000 0.0000 0.2500  4 Tl 2.77, 2 Sc 2.94
16 Pt 0.5000 0.5000 0.0000  4 Tl 2.77, 2 Sc 2.94

Summary:
SG	I-42d, No. 122
ΔH_f (0 K)	-0.50	eV/f.u.

***

Record 5
A relaxed Fe2SbSe crystal, computed with PBE.

a = 6.3069 Å, b = 6.3149 Å, c = 3.1885 Å
α = 90.00°, β = 90.11°, γ = 90.00°
Last column: nearest neighbours and their distance in Å.
Atoms (fractional coordinates):
1 Fe 0.2500 0.2500 0.0000  4 Se 2.74, 4 Sb 2.74
2 Fe 0.2500 0.7500 0.0000  4 Sb 2.74, 4 Se 2.74
3 Fe 0.7500 0.2500 0.0000  4 Se 2.74, 4 Sb 2.74
4 Fe 0.7500 0.7500 0.0000  4 Se 2.74, 4 Sb 2.74
5 Sb 0.0000 0.0000 0.5000  8 Fe 2.74
6 Sb 0.5000 0.5000 0.5000  8 Fe 2.74
7 Se 0.0000 0.5000 0.5000  8 Fe 2.74
8 Se 0.5000 0.0000 0.5000  8 Fe 2.74

Summary:
SG	C2/m, No. 12
formation energy without anion corrections	1.355	eV/f.u.
energy above the most stable polymorph in this dataset	374.1	meV/atom

***

Record 6
A relaxed Np2SbPd crystal, computed with PBE.

a = 4.2432 Å, b = 4.2432 Å, c = 4.8214 Å
α = 90.00°, β = 90.00°, γ = 90.00°
Last column: nearest neighbours and their distance in Å.
Atoms (fractional coordinates):
1 Np 0.0000 0.5000 0.0000  4 Np 3.00, 4 Sb 3.21, 4 Pd 3.21
2 Np 0.5000 0.0000 0.0000  4 Np 3.00, 4 Sb 3.21, 4 Pd 3.21
3 Sb 0.0000 0.0000 0.5000  4 Pd 3.00, 8 Np 3.21
4 Pd 0.5000 0.5000 0.5000  4 Sb 3.00, 8 Np 3.21

Summary:
SG	P4/mmm, No. 123
formation energy without anion corrections	-0.813	eV/f.u.

***

Number 1: E -6.073 eV per atom. Number 2: E -4.972 eV per atom. Number 3: E -8.022 eV per atom. Number 4: E -4.402 eV per atom. Number 5: E -5.794 eV per atom. Number 6: E -9.003 eV per atom.